VASP calculation (PBE) on crystalline Pm2AlReN5 at its relaxed geometry.

Values from the calculation:
raw formation energy	-0.846	eV/atom

Lattice parameters (Å, degrees): 3.2640 13.5274 10.1822 90.00 90.00 90.00
Last column: nearest neighbours and their distance in Å.
Space group Cmc2_1 (No. 36)
One atom of each set of equivalent atoms:
Pm  0.0000  0.1124  0.0000 x4  5 N 2.38-2.65
Pm  0.0000  0.1311  0.5698 x4  6 N 2.41-2.61
Al  0.0000  0.4810  0.7634 x4  3 N 1.86-1.88
Re  0.0000  0.2254  0.2943 x4  5 N 1.89-2.11
N  0.0000  0.0627  0.3297 x4  2 Al 1.86
N  0.0000  0.2819  0.9235 x4  2 Re 2.10
N  0.0000  0.2981  0.6668 x4  2 Re 2.11
N  0.0000  0.3651  0.2940 x4  1 Re 1.89, 1 Al 2.10
N  0.0000  0.4994  0.0809 x4  1 Al 1.88

---

VASP calculation (PBE) on crystalline Pm2SmAlN at its relaxed geometry.

Values from the calculation:
raw formation energy	-0.799	eV/atom

Lattice parameters (Å, degrees): 4.9510 4.9510 4.9194 90.00 90.00 90.00
Last column: nearest neighbours and their distance in Å.
Space group P4/mmm (No. 123)
One atom of each set of equivalent atoms:
Pm  0.0000  0.5000  0.0000 x2  2 N 2.48
Sm  0.0000  0.0000  0.5000 x1  2 N 2.46
Al  0.5000  0.5000  0.5000 x1  8 Pm 3.49, 4 Sm 3.50
N  0.0000  0.0000  0.0000 x1  2 Sm 2.46, 4 Pm 2.48

---

VASP calculation (PBE) on crystalline PmSm12Al4N3 at its relaxed geometry.

Values from the calculation:
raw formation energy	-0.352	eV/atom

Lattice parameters (Å, degrees): 10.0428 10.0428 10.0428 90.00 90.00 90.00
Last column: nearest neighbours and their distance in Å.
Space group Im-3m (No. 229)
One atom of each set of equivalent atoms:
Pm  0.0000  0.0000  0.0000 x2  6 Sm 2.75
Sm  0.0000  0.0000  0.2737 x12  1 N 2.27
Sm  0.0000  0.2500  0.5000 x12  2 N 2.51
Al  0.2500  0.2500  0.2500 x8  12 Sm 3.55-3.56
N  0.0000  0.0000  0.5000 x6  6 Sm 2.27-2.51

---

VASP calculation (PBE) on crystalline Pm12SmAl4N3 at its relaxed geometry.

Values from the calculation:
raw formation energy	-0.346	eV/atom

Lattice parameters (Å, degrees): 10.0993 10.0993 10.0993 90.00 90.00 90.00
Last column: nearest neighbours and their distance in Å.
Space group Im-3m (No. 229)
One atom of each set of equivalent atoms:
Pm  0.0000  0.0000  0.2736 x12  1 N 2.29
Pm  0.0000  0.2500  0.5000 x12  2 N 2.52
Sm  0.0000  0.0000  0.0000 x2  6 Pm 2.76
Al  0.2500  0.2500  0.2500 x8  12 Pm 3.57-3.58
N  0.0000  0.0000  0.5000 x6  6 Pm 2.29-2.52

---

VASP calculation (PBE) on crystalline Pm4AlSnN at its relaxed geometry.

Values from the calculation:
raw formation energy	-0.725	eV/atom

Lattice parameters (Å, degrees): 6.8610 16.2691 6.8647 90.00 90.00 90.00
Last column: nearest neighbours and their distance in Å.
Space group Cmcm (No. 63)
One atom of each set of equivalent atoms:
Pm  0.0000  0.0839  0.2500 x4  1 N 2.71
Pm  0.0000  0.4118  0.2500 x4  1 N 2.62
Pm  0.2500  0.2500  0.0000 x8  2 N 2.43
Al  0.0000  0.1148  0.7500 x4  9 Pm 3.23-3.47
Sn  0.0000  0.3910  0.7500 x4  9 Pm 3.21-3.45
N  0.0000  0.2506  0.2500 x4  6 Pm 2.43-2.71

---

VASP calculation (PBE) on crystalline Pm2YAlN at its relaxed geometry.

Values from the calculation:
raw formation energy	-0.835	eV/atom

Lattice parameters (Å, degrees): 4.9558 4.9558 4.7845 90.00 90.00 90.00
Last column: nearest neighbours and their distance in Å.
Space group P4/mmm (No. 123)
One atom of each set of equivalent atoms:
Pm  0.0000  0.5000  0.0000 x2  2 N 2.48
Y  0.0000  0.0000  0.5000 x1  2 N 2.39
Al  0.5000  0.5000  0.5000 x1  8 Pm 3.44, 4 Y 3.50
N  0.0000  0.0000  0.0000 x1  2 Y 2.39, 4 Pm 2.48